# SrWOF2 (PBE+U, relaxed)
data_SrWOF2
_chemical_formula_sum 'Sr1 W1 O1 F2'
_cell_length_a 4.4876
_cell_length_b 4.4876
_cell_length_c 4.2578
_cell_angle_alpha 90.00
_cell_angle_beta 90.00
_cell_angle_gamma 90.00
_symmetry_space_group_name_H-M 'P 4/m m m'
_symmetry_Int_Tables_number 123
_symmetry_space_group_name_Hall '-P 4 2'
loop_
_atom_site_label
_atom_site_type_symbol
_atom_site_fract_x
_atom_site_fract_y
_atom_site_fract_z
Sr1 Sr 0.0000 0.0000 0.0000
W1 W 0.5000 0.5000 0.5000
O1 O 0.5000 0.5000 0.0000
F1 F 0.0000 0.5000 0.5000
# - M_tot: 3.407 Bohr magnetons per cell
# - DOS at the Fermi energy: 0.872 states/eV per cell
# - Final energy: -5.55 eV/atom
# - Density: 6.30 Mg/m³